[1]
Be2B | PBE | optimized geometry

- ΔE_f (kJ/mol of atoms) = 7
- raw total energy (eV/atom) = -4.632
- offset from the most stable computed form (meV per atom) = 99.6
- density of states at the Fermi level (states/eV per cell) = 1.45

a = 3.821 Å, b = 3.821 Å, c = 4.664 Å
α = 109.80°, β = 109.80°, γ = 48.29°
Fractional coordinates of all 6 atoms:
Be  0.124  0.124  0.420
Be  0.147  0.147  0.963
Be  0.853  0.853  0.037
Be  0.876  0.876  0.580
B  0.397  0.397  0.321
B  0.603  0.603  0.679

=====

[2]
TcHSe3 | PBE | optimized geometry

- raw total energy (eV/atom) = -3.822
- offset from the most stable computed form (meV per atom) = 257.2
- density of states at the Fermi level (states/eV per cell) = 4.11

a = 4.218 Å, b = 4.218 Å, c = 4.218 Å
α = 90.00°, β = 90.00°, γ = 90.00°
Fractional coordinates of all 5 atoms:
Tc  0.000  0.000  0.000
H  0.500  0.500  0.500
Se  0.000  0.500  0.500
Se  0.500  0.000  0.500
Se  0.500  0.500  0.000

=====

> The lowest density of states at the Fermi level belongs to which entry?

Be2B

=====

> Which value of offset from the most stable computed form does entry 1 give?

99.6 meV per atom

=====

> Which of these has the highest raw total energy?

TcHSe3